No. 1
A PBEsol-optimized structure of AlV9Au2, computed with meta-GGA SCAN.

Lattice parameters (Å, degrees): 4.779 4.791 14.354 90.00 90.00 90.00
Fractional coordinates of all 24 atoms:
Al 0.000 0.000 0.165
Al 0.000 0.000 0.835
V 0.000 0.248 0.000
V 0.000 0.249 0.329
V 0.000 0.249 0.671
V 0.000 0.751 0.329
V 0.000 0.751 0.671
V 0.000 0.752 0.000
V 0.245 0.500 0.167
V 0.245 0.500 0.833
V 0.252 0.500 0.500
V 0.500 0.000 0.082
V 0.500 0.000 0.250
V 0.500 0.000 0.419
V 0.500 0.000 0.581
V 0.500 0.000 0.750
V 0.500 0.000 0.918
V 0.748 0.500 0.500
V 0.755 0.500 0.167
V 0.755 0.500 0.833
Au 0.000 0.000 0.500
Au 0.500 0.500 0.000
Au 0.500 0.500 0.333
Au 0.500 0.500 0.667

Calculated values
The crystal system is orthorhombic. As for the energy of formation: -0.224 eV per atom. The theoretical density comes out at 8.9 g cm⁻³.



No. 2
A PBEsol-optimized structure of AlWAu, computed with meta-GGA SCAN.

Lattice parameters (Å, degrees): 4.288 4.288 4.288 60.00 60.00 60.00
Fractional coordinates of all 3 atoms:
Al 0.000 0.000 0.000
W 0.500 0.500 0.500
Au 0.750 0.750 0.750

Calculated values
The crystal system is cubic. As for the energy of formation: 0.533 eV per atom. The theoretical density comes out at 12.1 g cm⁻³.



No. 3
A PBEsol-optimized structure of Y2AlAu, computed with meta-GGA SCAN.

Lattice parameters (Å, degrees): 5.049 5.049 3.567 90.00 90.00 90.00
Fractional coordinates of all 4 atoms:
Y 0.000 0.500 0.000
Y 0.500 0.000 0.000
Al 0.000 0.000 0.500
Au 0.500 0.500 0.500

Calculated values
The crystal system is tetragonal. As for the energy of formation: -0.744 eV per atom. The theoretical density comes out at 7.3 g cm⁻³.



No. 4
A PBEsol-optimized structure of Y2AlAu, computed with meta-GGA SCAN.

Lattice parameters (Å, degrees): 4.438 5.880 5.880 37.63 90.00 90.00
Fractional coordinates of all 4 atoms:
Y 0.000 0.000 0.000
Y 0.500 0.298 0.298
Al 0.000 0.720 0.720
Au 0.500 0.575 0.575

Calculated values
The crystal system is orthorhombic. As for the energy of formation: -0.824 eV per atom. The theoretical density comes out at 7.1 g cm⁻³.



What did we get for calculated total energy? Answer: -25.513 -48.332 -33.893 -33.973 eV/atom, in the order shown.
What did we get for M_tot? Answer: 3.289 1.894 0.001 0.012 μB/f.u., in the order shown.